1) Entry from the Alexandria database: a geometry-optimized DySc2Al2 structure (PBE-GGA).

Its volume is 220 Å³ per cell. The space-group type is P2_1/m, No. 11.

Cell and atoms, written as CIF:
```
data_DySc2Al2
_space_group_name_H-M_alt 'P 1'
_space_group_IT_number 1
_cell_length_a 3.466
_cell_length_b 4.977
_cell_length_c 12.849
_cell_angle_alpha 90.00
_cell_angle_beta 97.75
_cell_angle_gamma 90.00
loop_
_space_group_symop_operation_xyz
'x,y,z'
loop_
_atom_site_label
_atom_site_fract_x
_atom_site_fract_y
_atom_site_fract_z
Sc1 0.049 0.750 0.097
Dy1 0.854 0.750 0.706
Sc2 0.236 0.750 0.472
Al1 0.643 0.750 0.286
Sc3 0.951 0.250 0.903
Al2 0.545 0.250 0.091
Al3 0.455 0.750 0.909
Sc4 0.764 0.250 0.528
Dy2 0.146 0.250 0.294
Al4 0.357 0.250 0.714
```


2) Entry from the Alexandria database: a geometry-optimized DySc2Al2 structure (PBE-GGA).

Its volume is 235 Å³ per cell. The space-group type is P2_1/m, No. 11.

Cell and atoms, written as CIF:
```
data_DySc2Al2
_space_group_name_H-M_alt 'P 1'
_space_group_IT_number 1
_cell_length_a 3.484
_cell_length_b 5.288
_cell_length_c 12.831
_cell_angle_alpha 95.96
_cell_angle_beta 90.00
_cell_angle_gamma 90.00
loop_
_space_group_symop_operation_xyz
'x,y,z'
loop_
_atom_site_label
_atom_site_fract_x
_atom_site_fract_y
_atom_site_fract_z
Dy1 0.250 0.685 0.242
Sc1 0.250 0.258 0.532
Sc2 0.250 0.840 0.887
Sc3 0.750 0.742 0.468
Al1 0.750 0.661 0.043
Dy2 0.750 0.315 0.758
Sc4 0.750 0.160 0.113
Al2 0.250 0.339 0.957
Al3 0.250 0.790 0.659
Al4 0.750 0.210 0.341
```


Q: Which of them is the most stable? A: 1).


1) Entry from the Alexandria database: a geometry-optimized Dy3ScAl8 structure (PBE-GGA).

Its volume is 237 Å³ per cell. The space-group type is R3m, No. 160.

Cell and atoms, written as CIF:
```
data_Dy3ScAl8
_space_group_name_H-M_alt 'P 1'
_space_group_IT_number 1
_cell_length_a 5.503
_cell_length_b 5.503
_cell_length_c 9.581
_cell_angle_alpha 73.31
_cell_angle_beta 73.31
_cell_angle_gamma 60.00
loop_
_space_group_symop_operation_xyz
'x,y,z'
loop_
_atom_site_label
_atom_site_fract_x
_atom_site_fract_y
_atom_site_fract_z
Dy1 0.999 0.999 0.004
Dy2 0.501 0.501 0.498
Al1 0.938 0.938 0.685
Al2 0.437 0.437 0.190
Dy3 0.375 0.375 0.875
Al3 0.936 0.437 0.190
Al4 0.687 0.687 0.938
Al5 0.439 0.938 0.685
Al6 0.188 0.188 0.437
Al7 0.938 0.439 0.685
Al8 0.437 0.936 0.190
Sc1 0.876 0.876 0.373
```


2) Entry from the Alexandria database: a geometry-optimized Dy3ScAl8 structure (PBE-GGA).

Its volume is 237 Å³ per cell. The space-group type is P3m1, No. 156.

Cell and atoms, written as CIF:
```
data_Dy3ScAl8
_space_group_name_H-M_alt 'P 1'
_space_group_IT_number 1
_cell_length_a 5.505
_cell_length_b 5.505
_cell_length_c 9.032
_cell_angle_alpha 90.00
_cell_angle_beta 90.00
_cell_angle_gamma 120.00
loop_
_space_group_symop_operation_xyz
'x,y,z'
loop_
_atom_site_label
_atom_site_fract_x
_atom_site_fract_y
_atom_site_fract_z
Al1 0.162 0.838 0.253
Al2 0.504 0.496 0.747
Al3 0.333 0.667 0.501
Al4 0.333 0.667 0.998
Dy1 0.000 0.000 0.931
Al5 0.504 0.009 0.747
Dy2 0.667 0.333 0.069
Al6 0.991 0.496 0.747
Sc1 0.000 0.000 0.568
Dy3 0.667 0.333 0.435
Al7 0.162 0.324 0.253
Al8 0.676 0.838 0.253
```


Q: Which of them is the most stable? A: 1).


1) Entry from the Alexandria database: a geometry-optimized DySc2Al6 structure (PBE-GGA).

Its volume is 193 Å³ per cell. The space-group type is Immm, No. 71.

Cell and atoms, written as CIF:
```
data_DySc2Al6
_space_group_name_H-M_alt 'P 1'
_space_group_IT_number 1
_cell_length_a 4.251
_cell_length_b 7.705
_cell_length_c 7.705
_cell_angle_alpha 53.41
_cell_angle_beta 73.99
_cell_angle_gamma 73.99
loop_
_space_group_symop_operation_xyz
'x,y,z'
loop_
_atom_site_label
_atom_site_fract_x
_atom_site_fract_y
_atom_site_fract_z
Al1 0.689 0.009 0.612
Al2 0.500 0.685 0.315
Sc1 0.120 0.380 0.380
Al3 0.311 0.991 0.388
Al4 0.500 0.315 0.685
Al5 0.689 0.612 0.009
Al6 0.311 0.388 0.991
Dy1 0.000 0.000 0.000
Sc2 0.880 0.620 0.620
```


2) Entry from the Alexandria database: a geometry-optimized DySc2Al6 structure (PBE-GGA).

Its volume is 173 Å³ per cell. The space-group type is P6/mmm, No. 191.

Cell and atoms, written as CIF:
```
data_DySc2Al6
_space_group_name_H-M_alt 'P 1'
_space_group_IT_number 1
_cell_length_a 3.294
_cell_length_b 7.798
_cell_length_c 7.798
_cell_angle_alpha 120.00
_cell_angle_beta 90.00
_cell_angle_gamma 90.00
loop_
_space_group_symop_operation_xyz
'x,y,z'
loop_
_atom_site_label
_atom_site_fract_x
_atom_site_fract_y
_atom_site_fract_z
Dy1 0.000 0.000 0.000
Al1 0.500 0.664 0.000
Sc1 0.000 0.333 0.667
Sc2 0.000 0.667 0.333
Al2 0.500 0.000 0.664
Al3 0.500 0.664 0.664
Al4 0.500 0.000 0.336
Al5 0.500 0.336 0.336
Al6 0.500 0.336 0.000
```


Q: Which of them is the most stable? A: 2).


1) Entry from the Alexandria database: a geometry-optimized DyScAlTl structure (PBE-GGA).

Its volume is 93 Å³ per cell. The space-group type is P4mm, No. 99.

Cell and atoms, written as CIF:
```
data_DyScAlTl
_space_group_name_H-M_alt 'P 1'
_space_group_IT_number 1
_cell_length_a 3.298
_cell_length_b 3.298
_cell_length_c 8.584
_cell_angle_alpha 90.00
_cell_angle_beta 90.00
_cell_angle_gamma 90.00
loop_
_space_group_symop_operation_xyz
'x,y,z'
loop_
_atom_site_label
_atom_site_fract_x
_atom_site_fract_y
_atom_site_fract_z
Sc1 0.500 0.500 0.341
Dy1 0.500 0.500 0.802
Tl1 0.000 0.000 0.083
Al1 0.000 0.000 0.559
```


2) Entry from the Alexandria database: a geometry-optimized DyScAlTl structure (PBE-GGA).

Its volume is 94 Å³ per cell. The space-group type is F-43m, No. 216.

Cell and atoms, written as CIF:
```
data_DyScAlTl
_space_group_name_H-M_alt 'P 1'
_space_group_IT_number 1
_cell_length_a 5.109
_cell_length_b 5.109
_cell_length_c 5.109
_cell_angle_alpha 60.00
_cell_angle_beta 60.00
_cell_angle_gamma 60.00
loop_
_space_group_symop_operation_xyz
'x,y,z'
loop_
_atom_site_label
_atom_site_fract_x
_atom_site_fract_y
_atom_site_fract_z
Dy1 0.750 0.750 0.750
Sc1 0.250 0.250 0.250
Tl1 0.500 0.500 0.500
Al1 0.000 0.000 0.000
```


Q: Which of them is the most stable? A: 1).


1) Entry from the Alexandria database: a geometry-optimized SmDy4Al2 structure (PBE-GGA).

Its volume is 203 Å³ per cell. The space-group type is I4/mmm, No. 139.

Cell and atoms, written as CIF:
```
data_SmDy4Al2
_space_group_name_H-M_alt 'P 1'
_space_group_IT_number 1
_cell_length_a 5.650
_cell_length_b 5.650
_cell_length_c 7.509
_cell_angle_alpha 112.10
_cell_angle_beta 112.10
_cell_angle_gamma 90.00
loop_
_space_group_symop_operation_xyz
'x,y,z'
loop_
_atom_site_label
_atom_site_fract_x
_atom_site_fract_y
_atom_site_fract_z
Sm1 0.000 0.000 0.000
Dy1 0.250 0.750 0.500
Al1 0.615 0.615 0.229
Dy2 0.500 0.000 0.000
Dy3 0.000 0.500 0.000
Dy4 0.750 0.250 0.500
Al2 0.385 0.385 0.771
```


2) Entry from the Alexandria database: a geometry-optimized SmDy4Al2 structure (PBE-GGA).

Its volume is 406 Å³ per cell. The space-group type is Fmmm, No. 69.

Cell and atoms, written as CIF:
```
data_SmDy4Al2
_space_group_name_H-M_alt 'P 1'
_space_group_IT_number 1
_cell_length_a 10.428
_cell_length_b 6.756
_cell_length_c 6.679
_cell_angle_alpha 120.38
_cell_angle_beta 90.00
_cell_angle_gamma 90.00
loop_
_space_group_symop_operation_xyz
'x,y,z'
loop_
_atom_site_label
_atom_site_fract_x
_atom_site_fract_y
_atom_site_fract_z
Sm1 0.000 0.000 0.000
Dy1 0.661 0.000 0.000
Dy2 0.839 0.500 0.000
Sm2 0.500 0.500 0.000
Al1 0.500 0.227 0.454
Dy3 0.750 0.000 0.500
Dy4 0.161 0.500 0.000
Dy5 0.750 0.500 0.500
Al2 0.500 0.773 0.546
Al3 0.000 0.273 0.546
Dy6 0.250 0.000 0.500
Dy7 0.339 0.000 0.000
Dy8 0.250 0.500 0.500
Al4 0.000 0.727 0.454
```


Q: Which of them is the most stable? A: 2).